Entry from the Alexandria database: a relaxed LaThCd2 crystal (PBE).

Unit cell a=3.8761 b=3.8761 c=7.7959 alpha=90.00 beta=90.00 gamma=90.00
Last column: nearest neighbours and their distance in Å.
Sites, in units of the cell vectors:
Cd  0.0000  0.0000  0.7557  4 Th 3.34, 4 La 3.39
Cd  0.0000  0.0000  0.2443  4 Th 3.34, 4 La 3.39
Th  0.5000  0.5000  0.0000  8 Cd 3.34
La  0.5000  0.5000  0.5000  8 Cd 3.39

Properties
D(E_F): 1.177 states/eV/atom
Energy: -3.732 eV per atom
SG: P4/mmm (123)
Energy above the most stable polymorph in this dataset: 0.0 meV/atom
Magnetic moment: 0.10 μB per cell
Mass density: 8.45 g/cm³